(1)
The following is a PBE calculation of a geometry-optimized SmEuGe4 structure, from Alexandria.

a = 5.724 Å, b = 5.724 Å, c = 5.724 Å
α = 60.00°, β = 60.00°, γ = 60.00°
Element x y z (fractional)
Sm1 0.000 0.000 0.000
Eu1 0.750 0.750 0.750
Ge1 0.374 0.374 0.374
Ge2 0.374 0.374 0.879
Ge3 0.374 0.879 0.374
Ge4 0.879 0.374 0.374

E_form, kcal/mol of atoms: -9.0
Total DFT energy (no corrections), eV/atom: -5.97



(2)
The following is a PBE calculation of a geometry-optimized CeThAu2 structure, from Alexandria.

a = 3.904 Å, b = 4.716 Å, c = 6.055 Å
α = 90.00°, β = 108.63°, γ = 90.00°
Element x y z (fractional)
Ce1 0.000 0.000 0.000
Th1 0.718 0.500 0.435
Au1 0.273 0.000 0.546
Au2 0.443 0.500 0.886

E_form, kcal/mol of atoms: -14.1
Total DFT energy (no corrections), eV/atom: -5.59



(3)
The following is a PBE calculation of a geometry-optimized Dy3YHg2 structure, from Alexandria.

a = 3.684 Å, b = 3.684 Å, c = 12.415 Å
α = 90.00°, β = 90.00°, γ = 90.00°
Element x y z (fractional)
Dy1 0.000 0.000 0.000
Dy2 0.000 0.000 0.302
Dy3 0.000 0.000 0.698
Y1 0.500 0.500 0.500
Hg1 0.500 0.500 0.152
Hg2 0.500 0.500 0.848

Energy above the lowest structure with this stoichiometry, eV/f.u.: 0.406
E_form, kcal/mol of atoms: -7.0
Total DFT energy (no corrections), eV/atom: -3.78



(4)
The following is a PBE calculation of a geometry-optimized Pu3SnBi2 structure, from Alexandria.

a = 7.912 Å, b = 7.912 Å, c = 7.912 Å
α = 147.60°, β = 132.51°, γ = 58.66°
Element x y z (fractional)
Pu1 0.000 0.000 0.000
Pu2 0.334 0.334 0.000
Pu3 0.666 0.666 0.000
Sn1 0.500 0.000 0.500
Bi1 0.167 0.667 0.500
Bi2 0.833 0.333 0.500

E_form, kcal/mol of atoms: -3.9
Total DFT energy (no corrections), eV/atom: -9.30



(5)
The following is a PBE calculation of a geometry-optimized YBeOs2 structure, from Alexandria.

a = 2.853 Å, b = 3.598 Å, c = 6.445 Å
α = 90.00°, β = 90.00°, γ = 90.00°
Element x y z (fractional)
Y1 0.000 0.000 0.000
Be1 0.500 0.500 0.305
Os1 0.000 0.000 0.479
Os2 0.500 0.500 0.668

E_form, kcal/mol of atoms: 3.4
Total DFT energy (no corrections), eV/atom: -8.02



(6)
The following is a PBE calculation of a geometry-optimized HoIn3Ni2 structure, from Alexandria.

a = 6.464 Å, b = 6.464 Å, c = 5.602 Å
α = 90.00°, β = 90.00°, γ = 86.66°
Element x y z (fractional)
Ho1 0.100 0.900 0.750
Ho2 0.900 0.100 0.250
In1 0.070 0.595 0.250
In2 0.405 0.930 0.250
In3 0.453 0.547 0.750
In4 0.547 0.453 0.250
In5 0.595 0.070 0.750
In6 0.930 0.405 0.750
Ni1 0.258 0.258 0.000
Ni2 0.258 0.258 0.500
Ni3 0.742 0.742 0.000
Ni4 0.742 0.742 0.500

Energy above the lowest structure with this stoichiometry, eV/f.u.: 0.000
E_form, kcal/mol of atoms: -6.6
Total DFT energy (no corrections), eV/atom: -4.35



(7)
The following is a PBE calculation of a geometry-optimized TePdF3 structure, from Alexandria.

a = 4.371 Å, b = 4.371 Å, c = 4.371 Å
α = 90.00°, β = 90.00°, γ = 90.00°
Element x y z (fractional)
Te1 0.000 0.000 0.000
Pd1 0.500 0.500 0.500
F1 0.000 0.500 0.500
F2 0.500 0.000 0.500
F3 0.500 0.500 0.000

Energy above the lowest structure with this stoichiometry, eV/f.u.: 0.144
Formation energy without anion corrections, kJ/mol of formula units: -332
Total DFT energy (no corrections), eV/atom: -3.48



(8)
The following is a PBE calculation of a geometry-optimized CdAs structure, from Alexandria.

a = 5.966 Å, b = 5.966 Å, c = 5.966 Å
α = 28.63°, β = 28.63°, γ = 28.63°
Element x y z (fractional)
Cd1 0.000 0.000 0.000
As1 0.500 0.500 0.500

Energy above the lowest structure with this stoichiometry, eV/f.u.: 0.632
E_form, kcal/mol of atoms: 5.4
Total DFT energy (no corrections), eV/atom: -2.55